Entry 1:
Here is a crystal of BaFe2Cu relaxed with PBEsol from the Alexandria database. Energies are from meta-GGA SCAN.

```
data_BaFe2Cu
_space_group_name_H-M_alt 'P 1'
_space_group_IT_number 1
_space_group_name_Hall 'P 1'
_cell_length_a 3.118
_cell_length_b 3.118
_cell_length_c 7.322
_cell_angle_alpha 90.00
_cell_angle_beta 90.00
_cell_angle_gamma 90.00
loop_
_atom_site_label
_atom_site_type_symbol
_atom_site_fract_x
_atom_site_fract_y
_atom_site_fract_z
_atom_site_occupancy
Cu1 Cu 0.500 0.500 0.829 1
Fe1 Fe 0.500 0.500 0.158 1
Ba1 Ba 0.000 0.000 0.500 1
Fe2 Fe 0.000 0.000 0.013 1
```

Results
The space group is P4mm, No. 99. The calculated density comes out at 7.29 g/cm³. The total magnetic moment is 5.51 μB per formula unit. Its density of states at the Fermi level is 0.71 states/eV/atom. Its energy relative to the elements is 515 meV per atom. Its total energy is -88.95 eV per cell.

---

Entry 2:
Here is a crystal of BaTmFeCuO5 relaxed with PBEsol from the Alexandria database. Energies are from meta-GGA SCAN.

```
data_BaTmFeCuO5
_space_group_name_H-M_alt 'P 1'
_space_group_IT_number 1
_space_group_name_Hall 'P 1'
_cell_length_a 3.832
_cell_length_b 3.832
_cell_length_c 7.518
_cell_angle_alpha 90.00
_cell_angle_beta 90.00
_cell_angle_gamma 90.00
loop_
_atom_site_label
_atom_site_type_symbol
_atom_site_fract_x
_atom_site_fract_y
_atom_site_fract_z
_atom_site_occupancy
O1 O 0.000 0.500 0.388 1
Fe1 Fe 0.000 0.000 0.441 1
O2 O 0.000 0.000 0.686 1
Ba1 Ba 0.500 0.500 0.730 1
O3 O 0.500 0.000 0.024 1
Cu1 Cu 0.000 0.000 0.002 1
O4 O 0.000 0.500 0.024 1
Tm1 Tm 0.500 0.500 0.204 1
O5 O 0.500 0.000 0.388 1
```

Results
The space group is P4mm, No. 99. The calculated density comes out at 7.61 g/cm³. The total magnetic moment is 4.84 μB per formula unit. Its density of states at the Fermi level is 0.12 states/eV/atom. Its total energy is -177.74 eV per cell. The formation energy without anion corrections is -234.5 kJ per mole of atoms.

---

Entry 3:
Here is a crystal of Ba4Y2FeCu5O14 relaxed with PBEsol from the Alexandria database. Energies are from meta-GGA SCAN.

```
data_Ba4Y2FeCu5O14
_space_group_name_H-M_alt 'P 1'
_space_group_IT_number 1
_space_group_name_Hall 'P 1'
_cell_length_a 3.811
_cell_length_b 7.698
_cell_length_c 12.236
_cell_angle_alpha 71.66
_cell_angle_beta 90.00
_cell_angle_gamma 90.00
loop_
_atom_site_label
_atom_site_type_symbol
_atom_site_fract_x
_atom_site_fract_y
_atom_site_fract_z
_atom_site_occupancy
O1 O 0.000 0.423 0.155 1
O2 O 0.999 0.256 0.000 1
Ba1 Ba 0.500 0.342 0.813 1
O3 O 0.000 0.061 0.378 1
O4 O 0.000 0.440 0.622 1
O5 O 0.500 0.689 0.621 1
Ba2 Ba 0.500 0.155 0.187 1
O6 O 0.000 0.560 0.378 1
O7 O 0.000 0.939 0.622 1
Cu1 Cu 0.000 0.000 0.000 1
Cu2 Cu 0.000 0.178 0.644 1
Cu3 Cu 0.000 0.822 0.356 1
Ba3 Ba 0.500 0.658 0.187 1
O8 O 0.000 0.920 0.161 1
O9 O 0.500 0.311 0.379 1
Fe1 Fe 0.000 0.500 0.000 1
O10 O 0.001 0.744 0.000 1
Cu4 Cu 0.000 0.680 0.639 1
Y1 Y 0.500 0.500 0.500 1
O11 O 0.500 0.189 0.622 1
O12 O 0.000 0.080 0.839 1
Y2 Y 0.500 0.000 0.500 1
O13 O 0.000 0.577 0.845 1
Ba4 Ba 0.500 0.845 0.813 1
Cu5 Cu 0.000 0.320 0.361 1
O14 O 0.500 0.811 0.378 1
```

Results
The space group is Cmmm, No. 65. The calculated density comes out at 6.46 g/cm³. The total magnetic moment is 3.50 μB per formula unit. Its density of states at the Fermi level is 0.19 states/eV/atom. Its total energy is -451.31 eV per cell. The formation energy without anion corrections is -208.1 kJ per mole of atoms.

---

Entry 4:
Here is a crystal of BaY2FeCu relaxed with PBEsol from the Alexandria database. Energies are from meta-GGA SCAN.

```
data_BaY2FeCu
_space_group_name_H-M_alt 'P 1'
_space_group_IT_number 1
_space_group_name_Hall 'P 1'
_cell_length_a 5.057
_cell_length_b 5.057
_cell_length_c 5.423
_cell_angle_alpha 90.00
_cell_angle_beta 90.00
_cell_angle_gamma 90.00
loop_
_atom_site_label
_atom_site_type_symbol
_atom_site_fract_x
_atom_site_fract_y
_atom_site_fract_z
_atom_site_occupancy
Cu1 Cu 0.500 0.500 0.500 1
Y1 Y 0.500 0.000 0.000 1
Fe1 Fe 0.000 0.000 0.000 1
Y2 Y 0.000 0.500 0.000 1
Ba1 Ba 0.000 0.000 0.500 1
```

Results
The space group is P4/mmm, No. 123. The calculated density comes out at 5.20 g/cm³. The total magnetic moment is 0.00 μB per formula unit. Its density of states at the Fermi level is 0.56 states/eV/atom. Its energy relative to the elements is 571 meV per atom. Its total energy is -125.71 eV per cell.

---

Entry 5:
Here is a crystal of BaGaCu2 relaxed with PBEsol from the Alexandria database. Energies are from meta-GGA SCAN.

```
data_BaGaCu2
_space_group_name_H-M_alt 'P 1'
_space_group_IT_number 1
_space_group_name_Hall 'P 1'
_cell_length_a 4.240
_cell_length_b 4.240
_cell_length_c 6.124
_cell_angle_alpha 69.75
_cell_angle_beta 69.75
_cell_angle_gamma 60.00
loop_
_atom_site_label
_atom_site_type_symbol
_atom_site_fract_x
_atom_site_fract_y
_atom_site_fract_z
_atom_site_occupancy
Cu1 Cu 0.814 0.814 0.558 1
Ga1 Ga 0.500 0.500 0.500 1
Ba1 Ba 0.000 0.000 0.000 1
Cu2 Cu 0.186 0.186 0.442 1
```

Results
The space group is R-3m, No. 166. The calculated density comes out at 6.35 g/cm³. The total magnetic moment is 0.00 μB per formula unit. Its density of states at the Fermi level is 0.43 states/eV/atom. Its energy relative to the elements is -269 meV per atom. Its total energy is -87.37 eV per cell.

---

Entry 6:
Here is a crystal of BaGa2CuSb relaxed with PBEsol from the Alexandria database. Energies are from meta-GGA SCAN.

```
data_BaGa2CuSb
_space_group_name_H-M_alt 'P 1'
_space_group_IT_number 1
_space_group_name_Hall 'P 1'
_cell_length_a 5.841
_cell_length_b 5.841
_cell_length_c 6.107
_cell_angle_alpha 90.00
_cell_angle_beta 90.00
_cell_angle_gamma 90.00
loop_
_atom_site_label
_atom_site_type_symbol
_atom_site_fract_x
_atom_site_fract_y
_atom_site_fract_z
_atom_site_occupancy
Ba1 Ba 0.000 0.000 0.000 1
Sb1 Sb 0.000 0.000 0.500 1
Cu1 Cu 0.500 0.500 0.500 1
Ga1 Ga 0.500 0.000 0.000 1
Ga2 Ga 0.000 0.500 0.000 1
```

Results
The space group is P4/mmm, No. 123. The calculated density comes out at 3.68 g/cm³. The total magnetic moment is 0.00 μB per formula unit. Its density of states at the Fermi level is 0.80 states/eV/atom. Its total energy is -117.44 eV per cell. The formation energy without anion corrections is 140.2 kJ per mole of atoms.

---

Which of these has the highest calculated density? BaTmFeCuO5